(1)
The following is a PBEsol calculation of a geometry-optimized InPSe structure, from the Alexandria database.

Values from the calculation:
Raw formation energy in meV per atom: 189.2
Space-group type: No. 107

a b c (Å): 3.4730 3.4730 6.0572
angles (deg): 106.66 106.66 90.00
Element x y z (fractional)
1 P 0.7137 0.7137 0.4275
2 Se 0.2805 0.2805 0.5610
3 In 0.0058 0.0058 0.0115

=====

(2)
The following is a PBEsol calculation of a geometry-optimized Be4Se structure, from the Alexandria database.

Values from the calculation:
Raw formation energy in meV per atom: 467.5
Space-group type: No. 87

a b c (Å): 3.3379 4.3528 4.3528
angles (deg): 81.55 67.45 67.45
Element x y z (fractional)
1 Be 0.5944 0.2344 0.5767
2 Be 0.8288 0.5767 0.7656
3 Be 0.4056 0.7656 0.4233
4 Be 0.1712 0.4233 0.2344
5 Se 0.0000 0.0000 0.0000